Entry from Alexandria via LeMat-Bulk: an optimized crystal structure of Ac2Pm5Sn4 (PBE).

Properties
M_tot = 0.00 Bohr magnetons per cell
Energy relative to the elements = -0.508 eV per atom
Total energy = -4.870 eV/atom

Lattice parameters (Å, degrees): 6.998 6.998 9.319 111.38 111.38 61.93
Sites, in units of the cell vectors:
Ac  0.093  0.093  0.284
Ac  0.907  0.907  0.716
Pm  0.099  0.595  0.308
Pm  0.405  0.901  0.692
Pm  0.500  0.500  0.000
Pm  0.595  0.099  0.308
Pm  0.901  0.405  0.692
Sn  0.202  0.202  0.000
Sn  0.379  0.379  0.629
Sn  0.621  0.621  0.371
Sn  0.798  0.798  0.000

=====

Entry from Alexandria via LeMat-Bulk: an optimized crystal structure of Ti8Cu2Pt3 (PBE).

Properties
M_tot = 5.90 Bohr magnetons per cell
Energy relative to the elements = -0.049 eV per atom
Total energy = -6.931 eV/atom

Lattice parameters (Å, degrees): 9.935 9.935 9.935 29.92 29.92 29.92
Sites, in units of the cell vectors:
Ti  0.214  0.214  0.214
Ti  0.226  0.226  0.725
Ti  0.226  0.725  0.226
Ti  0.275  0.774  0.774
Ti  0.725  0.226  0.226
Ti  0.774  0.275  0.774
Ti  0.774  0.774  0.275
Ti  0.786  0.786  0.786
Cu  0.131  0.131  0.131
Cu  0.869  0.869  0.869
Pt  0.310  0.310  0.310
Pt  0.500  0.500  0.500
Pt  0.690  0.690  0.690

=====

Entry from Alexandria via LeMat-Bulk: an optimized crystal structure of Zr2ScRe (PBE).

Properties
M_tot = 0.00 Bohr magnetons per cell
Energy relative to the elements = 0.110 eV per atom
Total energy = -8.859 eV/atom

Lattice parameters (Å, degrees): 3.532 4.707 4.778 90.00 90.00 90.00
Sites, in units of the cell vectors:
Zr  0.000  0.000  0.000
Zr  0.500  0.000  0.500
Sc  0.000  0.500  0.500
Re  0.500  0.500  0.000

=====

Entry from Alexandria via LeMat-Bulk: an optimized crystal structure of YPaSbN2 (PBE).

Properties
M_tot = 0.00 Bohr magnetons per cell
Energy relative to the elements, uncorrected = -1.443 eV/atom
Total energy = -8.790 eV/atom

Lattice parameters (Å, degrees): 7.184 7.184 7.184 148.17 148.17 45.64
Sites, in units of the cell vectors:
Y  0.000  0.000  0.000
Pa  0.337  0.337  0.000
Sb  0.666  0.666  0.000
N  0.409  0.909  0.500
N  0.909  0.409  0.500

=====

Entry from Alexandria via LeMat-Bulk: an optimized crystal structure of Ca2CuHPd (PBE).

Properties
M_tot = 0.00 Bohr magnetons per cell
Total energy = -3.728 eV/atom
Offset from the most stable computed form = 0 meV/atom

Lattice parameters (Å, degrees): 4.973 4.973 3.625 90.00 90.00 90.00
Sites, in units of the cell vectors:
Ca  0.000  0.500  0.000
Ca  0.500  0.000  0.000
Cu  0.000  0.000  0.500
H  0.000  0.000  0.000
Pd  0.500  0.500  0.500

=====

Entry from Alexandria via LeMat-Bulk: an optimized crystal structure of LiEuY2 (PBE).

Properties
M_tot = 7.42 Bohr magnetons per cell
Energy relative to the elements = 0.225 eV per atom
Total energy = -6.054 eV/atom
Offset from the most stable computed form = 19 meV/atom

Lattice parameters (Å, degrees): 5.599 5.599 5.599 60.00 60.00 60.00
Sites, in units of the cell vectors:
Li  0.000  0.000  0.000
Eu  0.500  0.500  0.500
Y  0.250  0.250  0.250
Y  0.750  0.750  0.750

=====

Entry from Alexandria via LeMat-Bulk: an optimized crystal structure of NaCuTe2N (PBE).

Properties
M_tot = 0.74 Bohr magnetons per cell
Energy relative to the elements, uncorrected = 0.388 eV/atom
Total energy = -3.617 eV/atom
Offset from the most stable computed form = 0 meV/atom

Lattice parameters (Å, degrees): 5.746 5.746 3.473 90.00 90.00 90.00
Sites, in units of the cell vectors:
Na  0.000  0.000  0.000
Cu  0.500  0.500  0.500
Te  0.000  0.500  0.500
Te  0.500  0.000  0.500
N  0.500  0.500  0.000

=====

Entry from Alexandria via LeMat-Bulk: an optimized crystal structure of Nd4RhPb (PBE).

Properties
M_tot = 0.00 Bohr magnetons per cell
Energy relative to the elements = -0.470 eV per atom
Total energy = -5.492 eV/atom
Offset from the most stable computed form = 0 meV/atom

Lattice parameters (Å, degrees): 10.051 10.051 10.051 60.00 60.00 60.00
Sites, in units of the cell vectors:
Nd  0.047  0.651  0.651
Nd  0.057  0.057  0.443
Nd  0.057  0.443  0.057
Nd  0.057  0.443  0.443
Nd  0.189  0.189  0.811
Nd  0.189  0.811  0.189
Nd  0.189  0.811  0.811
Nd  0.443  0.057  0.057
Nd  0.443  0.057  0.443
Nd  0.443  0.443  0.057
Nd  0.651  0.047  0.651
Nd  0.651  0.651  0.047
Nd  0.651  0.651  0.651
Nd  0.811  0.189  0.189
Nd  0.811  0.189  0.811
Nd  0.811  0.811  0.189
Rh  0.428  0.857  0.857
Rh  0.857  0.428  0.857
Rh  0.857  0.857  0.428
Rh  0.857  0.857  0.857
Pb  0.412  0.412  0.412
Pb  0.412  0.412  0.765
Pb  0.412  0.765  0.412
Pb  0.765  0.412  0.412

=====

Entry from Alexandria via LeMat-Bulk: an optimized crystal structure of RuRh2Cl (PBE).

Properties
M_tot = 0.00 Bohr magnetons per cell
Energy relative to the elements, uncorrected = 0.353 eV/atom
Total energy = -6.104 eV/atom
Offset from the most stable computed form = 58 meV/atom

Lattice parameters (Å, degrees): 2.845 3.548 6.424 90.00 90.00 90.00
Sites, in units of the cell vectors:
Ru  0.000  0.000  0.000
Rh  0.000  0.000  0.409
Rh  0.500  0.500  0.193
Cl  0.000  0.500  0.716

=====

Entry from Alexandria via LeMat-Bulk: an optimized crystal structure of MnAs2WBr (PBE).

Properties
M_tot = 6.27 Bohr magnetons per cell
Energy relative to the elements, uncorrected = 1.178 eV/atom
Total energy = -5.441 eV/atom
Offset from the most stable computed form = 441 meV/atom

Lattice parameters (Å, degrees): 4.685 4.685 4.925 90.00 90.00 90.00
Sites, in units of the cell vectors:
Mn  0.000  0.000  0.000
As  0.000  0.500  0.000
As  0.500  0.000  0.000
W  0.500  0.500  0.500
Br  0.000  0.000  0.500

=====

Entry from Alexandria via LeMat-Bulk: an optimized crystal structure of YSi3 (PBE).

Properties
M_tot = 0.00 Bohr magnetons per cell
Energy relative to the elements, uncorrected = 0.070 eV/atom
Total energy = -5.614 eV/atom

Lattice parameters (Å, degrees): 7.439 7.439 7.439 27.98 27.98 27.98
Sites, in units of the cell vectors:
Y  0.000  0.000  0.000
Si  0.233  0.233  0.233
Si  0.500  0.500  0.500
Si  0.767  0.767  0.767

=====

Entry from Alexandria via LeMat-Bulk: an optimized crystal structure of Sn2Pt9Au (PBE).

Properties
M_tot = 0.00 Bohr magnetons per cell
Energy relative to the elements = -0.232 eV per atom
Total energy = -5.703 eV/atom

Lattice parameters (Å, degrees): 4.042 4.042 12.153 90.00 90.00 90.00
Sites, in units of the cell vectors:
Sn  0.000  0.000  0.172
Sn  0.000  0.000  0.828
Pt  0.000  0.500  0.000
Pt  0.000  0.500  0.333
Pt  0.000  0.500  0.667
Pt  0.500  0.000  0.000
Pt  0.500  0.000  0.333
Pt  0.500  0.000  0.667
Pt  0.500  0.500  0.165
Pt  0.500  0.500  0.500
Pt  0.500  0.500  0.835
Au  0.000  0.000  0.500